An optimized crystal structure of AcGe2SbO8. Source: the Alexandria database, functional PBE.

Cell: 8.1940 8.1940 8.1940 Å, 34.86 34.86 34.86°
Fractional coordinates of all 12 atoms:
Ac (0.0000, 0.0000, 0.0000)
Ge (0.2432, 0.2432, 0.2432)
Ge (0.7568, 0.7568, 0.7568)
Sb (0.5000, 0.5000, 0.5000)
O (0.1321, 0.4334, 0.7643)
O (0.2357, 0.5666, 0.8679)
O (0.3188, 0.3188, 0.3188)
O (0.4334, 0.7643, 0.1321)
O (0.5666, 0.8679, 0.2357)
O (0.6812, 0.6812, 0.6812)
O (0.7643, 0.1321, 0.4334)
O (0.8679, 0.2357, 0.5666)

Results
The calculation puts the total energy at -6.568 eV per atom. The magnetization comes out at 0.000 μB/f.u. The calculation puts the formation energy (no corrections) at -1.8069 eV per atom. The space group is No. 155.